Entry 1:
Compound: YOsO2
Source: Alexandria via LeMat-Bulk
Functional: GGA-PBE
Structure: optimized geometry

Output
Uncorrected energy ... -7.639 eV per atom
Space-group type ... Fm-3m, No. 225
Raw formation energy ... -16.981 kcal/mol of atoms
Energy above the most stable polymorph in this dataset ... 814.0 meV per atom

abc: 4.1319 4.1319 4.1319
angles: 60.00 60.00 60.00
With the nearest neighbours (Å) after each atom.
Atoms (fractional coordinates):
O 0.7500 0.7500 0.7500  4 Y 2.53, 4 Os 2.53
Y 0.0000 0.0000 0.0000  8 O 2.53
O 0.2500 0.2500 0.2500  4 Os 2.53, 4 Y 2.53
Os 0.5000 0.5000 0.5000  8 O 2.53


Entry 2:
Compound: YOsO2
Source: Alexandria via LeMat-Bulk
Functional: GGA-PBE
Structure: optimized geometry

Output
Uncorrected energy ... -8.453 eV per atom
Space-group type ... R-3m, No. 166
Raw formation energy ... -35.753 kcal/mol of atoms
Energy above the most stable polymorph in this dataset ... 0.0 meV per atom

abc: 6.5500 6.5500 6.5500
angles: 29.43 29.43 29.43
With the nearest neighbours (Å) after each atom.
Atoms (fractional coordinates):
Y 0.5000 0.5000 0.5000  6 O 2.23
Os 0.0000 0.0000 0.0000  2 O 2.01
O 0.1068 0.1068 0.1068  1 Os 2.01, 3 Y 2.23
O 0.8932 0.8932 0.8932  1 Os 2.01, 3 Y 2.23


Entry 3:
Compound: YOsO2
Source: Alexandria via LeMat-Bulk
Functional: GGA-PBE
Structure: optimized geometry

Output
Uncorrected energy ... -7.858 eV per atom
Space-group type ... R-3m, No. 166
Raw formation energy ... -22.031 kcal/mol of atoms
Energy above the most stable polymorph in this dataset ... 595.0 meV per atom

abc: 5.8660 5.8660 5.8660
angles: 34.69 34.69 34.69
With the nearest neighbours (Å) after each atom.
Atoms (fractional coordinates):
O 0.8693 0.8693 0.8693  3 Os 2.11, 1 Y 2.16, 3 O 2.34
Y 0.0000 0.0000 0.0000  2 O 2.16
Os 0.5000 0.5000 0.5000  6 O 2.11
O 0.1307 0.1307 0.1307  3 Os 2.11, 1 Y 2.16, 3 O 2.34


Entry 4:
Compound: YOs3O
Source: Alexandria via LeMat-Bulk
Functional: GGA-PBE
Structure: optimized geometry

Output
Uncorrected energy ... -8.585 eV per atom
Space-group type ... Pm-3m, No. 221
Raw formation energy ... 10.094 kcal/mol of atoms
Energy above the most stable polymorph in this dataset ... 0.0 meV per atom

abc: 4.2226 4.2226 4.2226
angles: 90.00 90.00 90.00
With the nearest neighbours (Å) after each atom.
Atoms (fractional coordinates):
Os 0.0000 0.0000 0.5000  2 O 2.11
O 0.0000 0.0000 0.0000  6 Os 2.11
Os 0.5000 0.0000 0.0000  2 O 2.11
Y 0.5000 0.5000 0.5000  12 Os 2.99
Os 0.0000 0.5000 0.0000  2 O 2.11


Entry 5:
Compound: YOs2O8
Source: Alexandria via LeMat-Bulk
Functional: GGA-PBE
Structure: optimized geometry

Output
Uncorrected energy ... -7.681 eV per atom
Space-group type ... P-3m1, No. 164
Raw formation energy ... -33.347 kcal/mol of atoms

abc: 6.2108 6.1720 6.1720
angles: 120.00 90.00 90.00
With the nearest neighbours (Å) after each atom.
Atoms (fractional coordinates):
Os 0.2001 0.3333 0.6667  4 O 1.74-1.79
O 0.9194 0.3333 0.6667  1 Os 1.74
O 0.0806 0.6667 0.3333  1 Os 1.74
O 0.6971 0.3534 0.1767  1 Os 1.79
O 0.6971 0.8233 0.6466  1 Os 1.79
Os 0.7999 0.6667 0.3333  4 O 1.74-1.79
Y 0.5000 0.0000 0.0000  6 O 2.25
O 0.6971 0.8233 0.1767  1 Os 1.79
O 0.3029 0.6466 0.8233  1 Os 1.79
O 0.3029 0.1767 0.8233  1 Os 1.79
O 0.3029 0.1767 0.3534  1 Os 1.79


Entry 6:
Compound: Y3OsO7
Source: Alexandria via LeMat-Bulk
Functional: GGA-PBE
Structure: optimized geometry

Output
Uncorrected energy ... -8.685 eV per atom
Space-group type ... C222_1, No. 20
Raw formation energy ... -63.322 kcal/mol of atoms

abc: 6.4815 6.4815 7.4297
angles: 90.00 90.00 108.92
With the nearest neighbours (Å) after each atom.
Atoms (fractional coordinates):
Y 0.0005 0.4663 0.2458  7 O 2.23-2.46
O 0.0703 0.9297 0.7500  2 Os 2.00
Y 0.5225 0.5225 0.0000  6 O 2.32-2.46
Y 0.5337 0.9995 0.2542  7 O 2.23-2.46
Y 0.4663 0.0005 0.7542  7 O 2.23-2.46
Os 0.0004 0.0004 0.5000  6 O 1.95-2.00
O 0.0624 0.3129 0.9661  1 Os 1.95
Os 0.9996 0.9996 0.0000  6 O 1.95-2.00
O 0.3694 0.6306 0.2500  4 Y 2.28-2.32
O 0.9376 0.6871 0.4661  1 Os 1.95
Y 0.9995 0.5337 0.7458  7 O 2.23-2.46
O 0.6379 0.3621 0.2500  4 Y 2.23-2.37
O 0.3129 0.0624 0.0339  1 Os 1.95
O 0.9211 0.6763 0.0260  1 Os 2.00
O 0.6871 0.9376 0.5339  1 Os 1.95
O 0.6763 0.9211 0.9740  1 Os 2.00
Y 0.4775 0.4775 0.5000  6 O 2.32-2.46
O 0.3621 0.6379 0.7500  4 Y 2.23-2.37
O 0.6306 0.3694 0.7500  4 Y 2.28-2.32
O 0.0789 0.3237 0.5260  1 Os 2.00
O 0.9297 0.0703 0.2500  2 Os 2.00
O 0.3237 0.0789 0.4740  1 Os 2.00


- Look up the raw formation energy of the first one.
  -16.981 kcal/mol of atoms


- raw formation energy of number 1 (YOsO2)?
  -16.981 kcal/mol of atoms


- What is the raw formation energy in the first record?
  -16.981 kcal/mol of atoms


What did the second record say?
Compound: YOsO2
Source: Alexandria via LeMat-Bulk
Functional: GGA-PBE
Structure: optimized geometry

Output
Uncorrected energy ... -8.453 eV per atom
Space-group type ... R-3m, No. 166
Raw formation energy ... -35.753 kcal/mol of atoms
Energy above the most stable polymorph in this dataset ... 0.0 meV per atom

abc: 6.5500 6.5500 6.5500
angles: 29.43 29.43 29.43
With the nearest neighbours (Å) after each atom.
Atoms (fractional coordinates):
Y 0.5000 0.5000 0.5000  6 O 2.23
Os 0.0000 0.0000 0.0000  2 O 2.01
O 0.1068 0.1068 0.1068  1 Os 2.01, 3 Y 2.23
O 0.8932 0.8932 0.8932  1 Os 2.01, 3 Y 2.23